Entry 1:
Density functional theory data (GGA-PBE) for crystalline Ac5La2Nd6 at its relaxed geometry.

a b c (Å): 12.221 22.102 3.822
angles (deg): 90.00 90.00 90.00
Sites, in units of the cell vectors:
Ac  0.000  0.000  0.000
Ac  0.051  0.293  0.000
Ac  0.195  0.575  0.000
Ac  0.305  0.075  0.000
Ac  0.449  0.793  0.000
Ac  0.500  0.500  0.000
Ac  0.551  0.207  0.000
Ac  0.695  0.925  0.000
Ac  0.805  0.425  0.000
Ac  0.949  0.707  0.000
La  0.207  0.734  0.500
La  0.293  0.234  0.500
La  0.707  0.766  0.500
La  0.793  0.266  0.500
Nd  0.053  0.146  0.500
Nd  0.079  0.437  0.500
Nd  0.193  0.876  0.000
Nd  0.307  0.376  0.000
Nd  0.421  0.937  0.500
Nd  0.447  0.646  0.500
Nd  0.553  0.354  0.500
Nd  0.579  0.063  0.500
Nd  0.693  0.624  0.000
Nd  0.807  0.124  0.000
Nd  0.921  0.563  0.500
Nd  0.947  0.854  0.500

Calculated values
Its total energy is -115.9 eV per cell. The energy of formation from the pure elements is 81.7 meV/atom.

Entry 2:
Density functional theory data (GGA-PBE) for crystalline NaLa2Ru at its relaxed geometry.

a b c (Å): 9.870 9.870 9.870
angles (deg): 24.17 24.17 24.17
Sites, in units of the cell vectors:
Na  0.000  0.000  0.000
La  0.220  0.220  0.220
La  0.780  0.780  0.780
Ru  0.500  0.500  0.500

Calculated values
Its total energy is -21.1 eV per cell. The energy of formation from the pure elements is -161.6 meV/atom.

Entry 3:
Density functional theory data (GGA-PBE) for crystalline ThBOs2C at its relaxed geometry.

a b c (Å): 5.740 5.740 7.114
angles (deg): 90.00 90.00 141.60
Sites, in units of the cell vectors:
Th  0.050  0.950  0.750
Th  0.950  0.050  0.250
B  0.228  0.772  0.250
B  0.772  0.228  0.750
Os  0.326  0.674  0.565
Os  0.326  0.674  0.935
Os  0.674  0.326  0.065
Os  0.674  0.326  0.435
C  0.500  0.500  0.000
C  0.500  0.500  0.500

Calculated values
Its total energy is -93.8 eV per cell. The energy of formation from the pure elements is -220.8 meV/atom.

Entry 4:
Density functional theory data (GGA-PBE) for crystalline Ag2HgI4 at its relaxed geometry.

a b c (Å): 6.558 6.558 6.466
angles (deg): 90.00 90.00 90.00
Sites, in units of the cell vectors:
Ag  0.000  0.500  0.000
Ag  0.500  0.000  0.000
Hg  0.000  0.000  0.500
I  0.261  0.261  0.741
I  0.261  0.739  0.259
I  0.739  0.261  0.259
I  0.739  0.739  0.741

Calculated values
Its total energy is -14.1 eV per cell.